VASP calculation (PBE) on a relaxed structure of Dy5Tl2Tc.

The value obtained for the volume is 26.670 Å³ per atom. The value obtained for the excess energy over the best structure of this formula in the dataset is 0.0000 eV per atom. As for the space-group type: Pbam, No. 55. Its theoretical density is 10.27 g cm⁻³. The calculation puts the total energy at -4.9865 eV per atom. As for the magnetic moment: 0.00 μB/atom.

Cell lengths 6.7547, 12.6269, 5.0031 Å; angles 90.00, 90.00, 90.00 degrees
Last column: nearest neighbours and their distance in Å.
Positions (direct):
Dy  0.0000  0.0000  0.0000  4 Tl 3.28, 2 Tc 3.38, 4 Dy 3.54
Dy  0.1151  0.2871  0.0000  1 Tc 2.80
Dy  0.1711  0.5905  0.5000  2 Tc 2.98, 2 Tl 3.15-3.24, 1 Dy 3.25
Dy  0.3289  0.0905  0.5000  2 Tc 2.98, 2 Tl 3.15-3.24, 1 Dy 3.25
Dy  0.3849  0.7871  0.0000  1 Tc 2.80
Dy  0.5000  0.5000  0.0000  4 Tl 3.28, 2 Tc 3.38, 4 Dy 3.54
Dy  0.6151  0.2129  0.0000  1 Tc 2.80
Dy  0.6711  0.9095  0.5000  2 Tc 2.98, 2 Tl 3.15-3.24, 1 Dy 3.25
Dy  0.8289  0.4095  0.5000  2 Tc 2.98, 2 Tl 3.15-3.24, 1 Dy 3.25
Dy  0.8849  0.7129  0.0000  1 Tc 2.80
Tl  0.1224  0.8455  0.5000  9 Dy 3.15-3.41
Tl  0.3776  0.3455  0.5000  9 Dy 3.15-3.41
Tl  0.6224  0.6545  0.5000  9 Dy 3.15-3.41
Tl  0.8776  0.1545  0.5000  9 Dy 3.15-3.41
Tc  0.0000  0.5000  0.0000  6 Dy 2.80-2.98
Tc  0.5000  0.0000  0.0000  6 Dy 2.80-2.98



VASP calculation (PBE) on a relaxed structure of Dy8TlTc2.

The value obtained for the volume is 26.655 Å³ per atom. As for the space-group type: Imm2, No. 44. Its theoretical density is 9.63 g cm⁻³. The calculation puts the total energy at -5.5365 eV per atom. As for the magnetic moment: 0.00 μB/atom.

Cell lengths 9.0313, 9.0313, 9.0313 Å; angles 145.50, 58.02, 134.88 degrees
Last column: nearest neighbours and their distance in Å.
Positions (direct):
Dy  0.0000  0.0000  0.0000  2 Tc 2.89
Dy  0.0834  0.4135  0.6699  1 Tl 3.05, 3 Tc 3.06-3.27, 3 Dy 3.29
Dy  0.1700  0.8801  0.2899  3 Tc 2.90-3.09
Dy  0.2683  0.7683  0.5000  1 Tl 3.02, 2 Dy 3.26
Dy  0.4403  0.5500  0.8903  1 Tc 2.68
Dy  0.5901  0.8801  0.7101  3 Tc 2.90-3.09
Dy  0.6597  0.5500  0.1097  1 Tc 2.68
Dy  0.7437  0.4135  0.3301  1 Tl 3.05, 3 Tc 3.06-3.27, 3 Dy 3.29
Tl  0.7038  0.2038  0.5000  9 Dy 3.02-3.37
Tc  0.0200  0.1844  0.8356  3 Dy 2.68-2.90
Tc  0.3488  0.1844  0.1644  3 Dy 2.68-2.90



VASP calculation (PBE) on a relaxed structure of DyTlTc.

The value obtained for the volume is 24.104 Å³ per atom. As for the space-group type: C2/m, No. 12. Its theoretical density is 10.68 g cm⁻³. The calculation puts the total energy at -5.7958 eV per atom. As for the magnetic moment: 0.00 μB/atom.

Cell lengths 13.6187, 4.0681, 5.3245 Å; angles 90.00, 101.32, 90.00 degrees
Last column: nearest neighbours and their distance in Å.
Positions (direct):
Dy  0.1296  0.0000  0.3230  4 Tc 2.91-3.16
Dy  0.3704  0.5000  0.6770  4 Tc 2.91-3.16
Dy  0.6296  0.5000  0.3230  4 Tc 2.91-3.16
Dy  0.8704  0.0000  0.6770  4 Tc 2.91-3.16
Tl  0.0686  0.5000  0.7870  3 Tc 2.94-2.97, 2 Tl 3.21-3.25
Tl  0.4314  0.0000  0.2130  3 Tc 2.94-2.97, 2 Tl 3.21-3.25
Tl  0.5686  0.0000  0.7870  3 Tc 2.94-2.97, 2 Tl 3.21-3.25
Tl  0.9314  0.5000  0.2130  3 Tc 2.94-2.97, 2 Tl 3.21-3.25
Tc  0.2278  0.0000  0.8849  2 Tc 2.39
Tc  0.2722  0.5000  0.1151  2 Tc 2.39
Tc  0.7278  0.5000  0.8849  2 Tc 2.39
Tc  0.7722  0.0000  0.1151  2 Tc 2.39



VASP calculation (PBE) on a relaxed structure of Dy8Tl2Tc.

The value obtained for the volume is 28.094 Å³ per atom. As for the space-group type: C2/m, No. 12. Its theoretical density is 9.71 g cm⁻³. The calculation puts the total energy at -4.8751 eV per atom. As for the magnetic moment: 0.00 μB/atom.

Cell lengths 9.1112, 9.1112, 7.0075 Å; angles 110.94, 110.94, 34.96 degrees
Last column: nearest neighbours and their distance in Å.
Positions (direct):
Dy  0.0125  0.0125  0.2760  2 Tc 3.20, 1 Tl 3.24, 6 Dy 3.33-3.51
Dy  0.1933  0.1933  0.7520  3 Tl 3.15-3.40, 5 Dy 3.48-3.51
Dy  0.3571  0.3571  0.5807  1 Tc 2.75
Dy  0.3998  0.3998  0.0925  1 Tc 2.73
Dy  0.6002  0.6002  0.9075  1 Tc 2.73
Dy  0.6429  0.6429  0.4193  1 Tc 2.75
Dy  0.8067  0.8067  0.2480  3 Tl 3.15-3.40, 5 Dy 3.48-3.51
Dy  0.9875  0.9875  0.7240  2 Tc 3.20, 1 Tl 3.24, 6 Dy 3.33-3.51
Tl  0.1837  0.1837  0.1918  9 Dy 3.15-3.40
Tl  0.8163  0.8163  0.8082  9 Dy 3.15-3.40
Tc  0.5000  0.5000  0.5000  4 Dy 2.73-2.75



VASP calculation (PBE) on a relaxed structure of Dy2TmTc9.

The value obtained for the volume is 17.956 Å³ per atom. As for the space-group type: R-3m, No. 166. Its theoretical density is 10.60 g cm⁻³. The calculation puts the total energy at -8.9689 eV per atom. As for the magnetic moment: 0.00 μB/atom.

Cell lengths 9.2815, 9.2815, 9.2815 Å; angles 33.38, 33.38, 33.38 degrees
Last column: nearest neighbours and their distance in Å.
Positions (direct):
Dy  0.1437  0.1437  0.1437  12 Tc 3.10-3.17, 3 Dy 3.31
Dy  0.8563  0.8563  0.8563  12 Tc 3.10-3.17, 3 Dy 3.31
Tm  0.0000  0.0000  0.0000  18 Tc 3.08-3.45
Tc  0.0738  0.5878  0.5878  7 Tc 2.59-2.74
Tc  0.3374  0.3374  0.3374  6 Tc 2.61-2.74
Tc  0.4122  0.4122  0.9262  7 Tc 2.59-2.74
Tc  0.4122  0.9262  0.4122  7 Tc 2.59-2.74
Tc  0.5000  0.5000  0.5000  6 Tc 2.70
Tc  0.5878  0.0738  0.5878  7 Tc 2.59-2.74
Tc  0.5878  0.5878  0.0738  7 Tc 2.59-2.74
Tc  0.6626  0.6626  0.6626  6 Tc 2.61-2.74
Tc  0.9262  0.4122  0.4122  7 Tc 2.59-2.74



VASP calculation (PBE) on a relaxed structure of Dy3Tm7Tc4.

The value obtained for the volume is 24.873 Å³ per atom. As for the space-group type: C2/m, No. 12. Its theoretical density is 9.83 g cm⁻³. The calculation puts the total energy at -6.1987 eV per atom. As for the magnetic moment: 0.00 μB/atom.

Cell lengths 9.5297, 9.5297, 11.8857 Å; angles 120.88, 120.88, 22.24 degrees
Last column: nearest neighbours and their distance in Å.
Positions (direct):
Dy  0.0000  0.0000  0.0000  4 Tc 3.08
Dy  0.2973  0.2973  0.3009  4 Tc 2.87-3.18
Dy  0.7027  0.7027  0.6991  4 Tc 2.87-3.18
Tm  0.0000  0.0000  0.5000  2 Tc 3.03
Tm  0.1629  0.1629  0.4079  2 Tc 2.83
Tm  0.3192  0.3192  0.9833  4 Tc 2.80-3.07
Tm  0.4983  0.4983  0.2513  3 Tc 2.81-2.90
Tm  0.5017  0.5017  0.7487  3 Tc 2.81-2.90
Tm  0.6808  0.6808  0.0167  4 Tc 2.80-3.07
Tm  0.8371  0.8371  0.5921  2 Tc 2.83
Tc  0.1279  0.1279  0.7937  6 Tm 2.81-3.07, 2 Dy 2.87
Tc  0.3627  0.3627  0.7911  4 Tm 2.80-2.90, 2 Dy 3.08
Tc  0.6373  0.6373  0.2089  4 Tm 2.80-2.90, 2 Dy 3.08
Tc  0.8721  0.8721  0.2063  6 Tm 2.81-3.07, 2 Dy 2.87



VASP calculation (PBE) on a relaxed structure of DyTm3Tc.

The value obtained for the volume is 28.420 Å³ per atom. The value obtained for the excess energy over the best structure of this formula in the dataset is 0.0000 eV per atom. As for the space-group type: C2/m, No. 12. Its theoretical density is 8.97 g cm⁻³. The calculation puts the total energy at -5.7143 eV per atom. As for the magnetic moment: 0.00 μB/atom.

Cell lengths 7.1778, 7.1778, 7.7729 Å; angles 122.60, 122.60, 73.03 degrees
Last column: nearest neighbours and their distance in Å.
Positions (direct):
Dy  0.0531  0.0531  0.3440  1 Tc 2.67
Dy  0.9469  0.9469  0.6560  1 Tc 2.67
Tm  0.0559  0.4480  0.2063  1 Tc 2.67
Tm  0.4453  0.4453  0.7417  1 Tc 2.68
Tm  0.4480  0.0559  0.2063  1 Tc 2.67
Tm  0.5520  0.9441  0.7937  1 Tc 2.67
Tm  0.5547  0.5547  0.2583  1 Tc 2.68
Tm  0.9441  0.5520  0.7937  1 Tc 2.67
Tc  0.2503  0.2503  0.8770  3 Tm 2.67-2.68, 1 Dy 2.67
Tc  0.7497  0.7497  0.1230  3 Tm 2.67-2.68, 1 Dy 2.67



VASP calculation (PBE) on a relaxed structure of DyTm2Tc9.

The value obtained for the volume is 17.858 Å³ per atom. As for the space-group type: R-3m, No. 166. Its theoretical density is 10.71 g cm⁻³. The calculation puts the total energy at -8.9905 eV per atom. As for the magnetic moment: 0.00 μB/atom.

Cell lengths 9.2332, 9.2332, 9.2332 Å; angles 33.56, 33.56, 33.56 degrees
Last column: nearest neighbours and their distance in Å.
Positions (direct):
Dy  0.0000  0.0000  0.0000  6 Tc 3.08
Tm  0.1436  0.1436  0.1436  12 Tc 3.09-3.14, 3 Tm 3.30
Tm  0.8564  0.8564  0.8564  12 Tc 3.09-3.14, 3 Tm 3.30
Tc  0.0734  0.5891  0.5891  7 Tc 2.58-2.75
Tc  0.3379  0.3379  0.3379  6 Tc 2.61-2.75
Tc  0.4109  0.4109  0.9266  7 Tc 2.58-2.75
Tc  0.4109  0.9266  0.4109  7 Tc 2.58-2.75
Tc  0.5000  0.5000  0.5000  6 Tc 2.68
Tc  0.5891  0.0734  0.5891  7 Tc 2.58-2.75
Tc  0.5891  0.5891  0.0734  7 Tc 2.58-2.75
Tc  0.6621  0.6621  0.6621  6 Tc 2.61-2.75
Tc  0.9266  0.4109  0.4109  7 Tc 2.58-2.75



VASP calculation (PBE) on a relaxed structure of DyTm3Tc.

The value obtained for the volume is 26.951 Å³ per atom. The value obtained for the excess energy over the best structure of this formula in the dataset is 0.0073 eV per atom. As for the space-group type: Pmmn, No. 59. Its theoretical density is 9.46 g cm⁻³. The calculation puts the total energy at -5.7069 eV per atom. As for the magnetic moment: 0.00 μB/atom.

Cell lengths 4.8726, 8.1244, 6.8080 Å; angles 90.00, 90.00, 90.00 degrees
Last column: nearest neighbours and their distance in Å.
Positions (direct):
Dy  0.2500  0.2500  0.0772  1 Tc 2.76
Dy  0.7500  0.7500  0.9228  1 Tc 2.76
Tm  0.2500  0.5488  0.6788  1 Tc 2.77
Tm  0.2500  0.7500  0.2564  2 Tc 3.02, 2 Tm 3.31, 2 Dy 3.33
Tm  0.2500  0.9512  0.6788  1 Tc 2.77
Tm  0.7500  0.0488  0.3212  1 Tc 2.77
Tm  0.7500  0.2500  0.7436  2 Tc 3.02, 2 Tm 3.31, 2 Dy 3.33
Tm  0.7500  0.4512  0.3212  1 Tc 2.77
Tc  0.2500  0.2500  0.4822  1 Dy 2.76, 4 Tm 2.77-3.02
Tc  0.7500  0.7500  0.5178  1 Dy 2.76, 4 Tm 2.77-3.02



VASP calculation (PBE) on a relaxed structure of Dy2Tm2Tc.

The value obtained for the volume is 27.149 Å³ per atom. As for the space-group type: C2/m, No. 12. Its theoretical density is 9.31 g cm⁻³. The calculation puts the total energy at -5.7841 eV per atom. As for the magnetic moment: 0.00 μB/atom.

Cell lengths 6.3174, 6.3174, 12.6564 Å; angles 111.39, 111.39, 35.58 degrees
Last column: nearest neighbours and their distance in Å.
Positions (direct):
Dy  0.0063  0.0063  0.1651  2 Tc 2.91
Dy  0.3508  0.3508  0.3074  2 Tc 2.79
Dy  0.6492  0.6492  0.6926  2 Tc 2.79
Dy  0.9937  0.9937  0.8349  2 Tc 2.91
Tm  0.1247  0.1247  0.4499  3 Tc 2.92-3.08
Tm  0.3181  0.3181  0.9296  1 Tc 2.98
Tm  0.6819  0.6819  0.0704  1 Tc 2.98
Tm  0.8753  0.8753  0.5501  3 Tc 2.92-3.08
Tc  0.3180  0.3180  0.6945  4 Dy 2.79-2.91, 4 Tm 2.92-3.08
Tc  0.6820  0.6820  0.3055  4 Dy 2.79-2.91, 4 Tm 2.92-3.08



Look up the magnetic moment of the seventh one.
0.00 μB/atom